Record 1
# KBaNbBr2, relaxed, DFT PBE
data_KBaNbBr2
_cell_length_a 5.680
_cell_length_b 5.585
_cell_length_c 5.680
_cell_angle_alpha 90.00
_cell_angle_beta 90.00
_cell_angle_gamma 90.00
_symmetry_space_group_name_H-M 'P 1'
_symmetry_Int_Tables_number 1
loop_
_symmetry_equiv_pos_as_xyz
'x,y,z'
loop_
_atom_site_label
_atom_site_type_symbol
_atom_site_fract_x
_atom_site_fract_y
_atom_site_fract_z
Ba1 Ba 0.000 0.500 0.000
Nb1 Nb 0.000 0.000 0.000
K1 K 0.500 0.500 0.500
Br1 Br 0.500 0.000 0.000
Br2 Br 0.000 0.000 0.500
# size of the total moment: 1.27 μB/f.u.
# ΔE_f (raw): -0.11 eV/f.u.
# electronic total energy: -16.6 eV/cell

---

Record 2
# KBaNdBr6, relaxed, DFT PBE
data_KBaNdBr6
_cell_length_a 8.014
_cell_length_b 8.014
_cell_length_c 13.577
_cell_angle_alpha 90.00
_cell_angle_beta 90.00
_cell_angle_gamma 120.00
_symmetry_space_group_name_H-M 'P 1'
_symmetry_Int_Tables_number 1
loop_
_symmetry_equiv_pos_as_xyz
'x,y,z'
loop_
_atom_site_label
_atom_site_type_symbol
_atom_site_fract_x
_atom_site_fract_y
_atom_site_fract_z
Br1 Br 0.636 0.674 0.628
Br2 Br 0.962 0.326 0.128
Br3 Br 0.636 0.962 0.872
Br4 Br 0.364 0.038 0.128
Br5 Br 0.962 0.636 0.372
Br6 Br 0.326 0.962 0.628
Br7 Br 0.038 0.674 0.872
Br8 Br 0.674 0.038 0.372
Br9 Br 0.674 0.636 0.128
Br10 Br 0.364 0.326 0.372
Br11 Br 0.326 0.364 0.872
Br12 Br 0.038 0.364 0.628
K1 K 0.333 0.667 0.250
K2 K 0.667 0.333 0.750
Nd1 Nd 0.667 0.333 0.250
Nd2 Nd 0.333 0.667 0.750
Ba1 Ba 0.000 0.000 0.000
Ba2 Ba 0.000 0.000 0.500
# size of the total moment: 0.00 μB/f.u.
# ΔE_f (raw): -17.48 eV/f.u.
# electronic total energy: -70.6 eV/cell

---

Record 3
# K2BaNpBr8, relaxed, DFT PBE
data_K2BaNpBr8
_cell_length_a 7.318
_cell_length_b 7.442
_cell_length_c 9.597
_cell_angle_alpha 89.99
_cell_angle_beta 90.01
_cell_angle_gamma 92.48
_symmetry_space_group_name_H-M 'P 1'
_symmetry_Int_Tables_number 1
loop_
_symmetry_equiv_pos_as_xyz
'x,y,z'
loop_
_atom_site_label
_atom_site_type_symbol
_atom_site_fract_x
_atom_site_fract_y
_atom_site_fract_z
Ba1 Ba 0.000 0.000 0.500
Br1 Br 0.655 0.740 0.500
Br2 Br 0.142 0.787 0.211
Br3 Br 0.858 0.213 0.211
Br4 Br 0.315 0.217 0.000
Br5 Br 0.858 0.213 0.789
Br6 Br 0.142 0.787 0.789
Br7 Br 0.685 0.783 0.000
Br8 Br 0.345 0.260 0.500
K1 K 0.500 0.500 0.249
K2 K 0.500 0.500 0.751
Np1 Np 0.000 0.000 0.000
# size of the total moment: 3.00 μB/f.u.
# ΔE_f (raw): -19.50 eV/f.u.
# electronic total energy: -49.9 eV/cell

---

Record 4
# KBaNpBr6, relaxed, DFT PBE
data_KBaNpBr6
_cell_length_a 8.070
_cell_length_b 8.070
_cell_length_c 13.741
_cell_angle_alpha 90.00
_cell_angle_beta 90.00
_cell_angle_gamma 120.00
_symmetry_space_group_name_H-M 'P 1'
_symmetry_Int_Tables_number 1
loop_
_symmetry_equiv_pos_as_xyz
'x,y,z'
loop_
_atom_site_label
_atom_site_type_symbol
_atom_site_fract_x
_atom_site_fract_y
_atom_site_fract_z
K1 K 0.000 0.000 0.500
K2 K 0.000 0.000 0.000
Br1 Br 0.341 0.373 0.869
Br2 Br 0.967 0.341 0.131
Br3 Br 0.373 0.341 0.369
Br4 Br 0.659 0.627 0.131
Br5 Br 0.659 0.033 0.369
Br6 Br 0.627 0.967 0.869
Br7 Br 0.341 0.967 0.631
Br8 Br 0.033 0.659 0.869
Br9 Br 0.627 0.659 0.631
Br10 Br 0.033 0.373 0.631
Br11 Br 0.967 0.627 0.369
Br12 Br 0.373 0.033 0.131
Ba1 Ba 0.667 0.333 0.750
Ba2 Ba 0.333 0.667 0.250
Np1 Np 0.333 0.667 0.750
Np2 Np 0.667 0.333 0.250
# size of the total moment: 4.00 μB/f.u.
# ΔE_f (raw): -15.31 eV/f.u.
# electronic total energy: -82.6 eV/cell

---

Q: What is the ΔE_f (raw) in the first record?
A: -0.11 eV/f.u.

---

Q: Number 1 is which compound?
A: KBaNbBr2